[1]
This record from Alexandria describes a relaxed structure of KCaBe2. The functional is PBE.

It has space group P4/mmm (No. 123), with a = 3.929 Å, b = 3.929 Å, c = 7.496 Å, α = 90.00°, β = 90.00° and γ = 90.00°. The inequivalent atoms are K at (0.000, 0.000, 0.000), Ca at (0.000, 0.000, 0.500) and Be at (0.500, 0.500, 0.361).

The calculated total energy is -1.98 eV per atom. Its formation energy is 0.655 eV/atom.



[2]
This record from Alexandria describes a relaxed structure of KCa3Be. The functional is PBE.

It has space group Pm-3m (No. 221), with a = 5.850 Å, b = 5.850 Å, c = 5.850 Å, α = 90.00°, β = 90.00° and γ = 90.00°. The inequivalent atoms are K at (0.000, 0.000, 0.000), Ca at (0.000, 0.500, 0.500) and Be at (0.500, 0.500, 0.500).

The calculated total energy is -1.89 eV per atom. Its formation energy is 0.280 eV/atom.